The following is a DFT calculation (PBEsol) of an optimized crystal structure of CsSrBe2Cu.

Values from the calculation:
calculated formation energy: 8.1 eV per formula unit
DOS(E_F): 2.60 states/eV/f.u.
E: -1.397 eV/atom
SG: P4/mmm
total magnetization: 0.0 μB per formula unit

```
5
Lattice="5.479 0.000 0.000 0.000 5.479 0.000 0.000 0.000 5.380" Properties=species:S:1:pos:R:3 pbc="T T T"
Cs 0.000 0.000 0.000
Sr 2.740 2.740 2.690
Be 0.000 2.740 0.000
Be 2.740 0.000 0.000
Cu 0.000 0.000 2.690
```